Computed, not measured: ZrTcAu after structural relaxation at the PBE-GGA level of DFT.

The space group is I4mm (No. 107) and the conventional cell measures 3.425, 3.425 and 9.329 Å, with angles of 90.00, 90.00 and 90.00 degrees. The distinct sites, in fractional coordinates, are Zr at (0.000, 0.000, 0.000), Tc at (0.000, 0.000, 0.647) and Au at (0.000, 0.000, 0.319).

Its magnetization is 0.00 μB/cell. Its distance to the lowest polymorph of the same formula is 0.000 eV/atom. As for the volume: 54.7 Å³/f.u. The density of states at the Fermi level is 1.298 states/eV/atom. Its total energy is -7.50 eV per atom.